Record 1
Computed, not measured: a geometry-optimized Y2AgMoN structure at the GGA-PBE level of DFT.

Cell lengths 4.942, 4.942, 3.983 Å; angles 90.00, 90.00, 90.00 degrees
Space group P4/mmm (No. 123)
Inequivalent atoms, fractional coordinates:
Y (0.000, 0.500, 0.000) (multiplicity 2)
Ag (0.000, 0.000, 0.500) (multiplicity 1)
Mo (0.500, 0.500, 0.500) (multiplicity 1)
N (0.500, 0.500, 0.000) (multiplicity 1)

## Properties
- calculated volume (Å³ per atom) = 19.5
- energy relative to the elements, uncorrected (eV per formula unit) = -2.83
- E (eV/cell) = -37.76

Record 2
Computed, not measured: a geometry-optimized NaAgMo3 structure at the GGA-PBE level of DFT.

Cell lengths 4.902, 4.902, 4.902 Å; angles 90.00, 90.00, 90.00 degrees
Space group Pm-3m (No. 221)
Inequivalent atoms, fractional coordinates:
Na (0.000, 0.000, 0.000) (multiplicity 1)
Ag (0.500, 0.500, 0.500) (multiplicity 1)
Mo (0.000, 0.500, 0.500) (multiplicity 3)

## Properties
- excess energy over the best structure of this formula in the dataset (meV per atom) = 0
- calculated volume (Å³ per atom) = 23.6
- ΔH_f (0 K) (eV/atom) = 2.4571
- E (eV/cell) = -24.38

Record 3
Computed, not measured: a geometry-optimized Na2AgMo structure at the GGA-PBE level of DFT.

Cell lengths 7.208, 7.208, 7.208 Å; angles 90.00, 90.00, 90.00 degrees
Space group Fm-3m (No. 225)
Inequivalent atoms, fractional coordinates:
Na (0.250, 0.250, 0.250) (multiplicity 8)
Ag (0.000, 0.000, 0.000) (multiplicity 4)
Mo (0.000, 0.000, 0.500) (multiplicity 4)

## Properties
- excess energy over the best structure of this formula in the dataset (meV per atom) = 0
- calculated volume (Å³ per atom) = 23.4
- ΔH_f (0 K) (eV/atom) = 1.0333
- E (eV/cell) = -48.75

Record 4
Computed, not measured: a geometry-optimized Na2AgMo structure at the GGA-PBE level of DFT.

Cell lengths 8.411, 8.411, 5.818 Å; angles 90.00, 90.00, 90.00 degrees
Space group I-42d (No. 122)
Inequivalent atoms, fractional coordinates:
Na (0.219, 0.250, 0.125) (multiplicity 8)
Ag (0.000, 0.000, 0.000) (multiplicity 4)
Mo (0.000, 0.000, 0.500) (multiplicity 4)

## Properties
- excess energy over the best structure of this formula in the dataset (meV per atom) = 54
- calculated volume (Å³ per atom) = 25.7
- ΔH_f (0 K) (eV/atom) = 1.0868
- E (eV/cell) = -47.89

Which of these has the lowest calculated volume? Y2AgMoN